{"formula": "PrAl4Cu2", "functional": "GGA-PBE", "state": "relaxed", "magnetic_moment_mub_per_cell": 0.000, "ef_ev_per_atom": -0.323, "dos_at_fermi_per_ev_atom": 0.554, "vol_a3_per_atom": 17.6, "lattice": [[7.858, 0.000, 0.000], [0.000, 7.858, 0.000], [0.000, 0.000, 3.993]], "species": ["Pr", "Pr", "Al", "Al", "Al", "Al", "Al", "Al", "Al", "Al", "Cu", "Cu", "Cu", "Cu"], "frac_coords": [[0.000, 0.000, 0.000], [0.500, 0.500, 0.500], [0.086, 0.335, 0.500], [0.165, 0.586, 0.000], [0.335, 0.086, 0.500], [0.414, 0.835, 0.000], [0.586, 0.165, 0.000], [0.665, 0.914, 0.500], [0.835, 0.414, 0.000], [0.914, 0.665, 0.500], [0.210, 0.790, 0.500], [0.290, 0.290, 0.000], [0.710, 0.710, 0.000], [0.790, 0.210, 0.500]]}

{"formula": "Pr4Al3Cu", "functional": "GGA-PBE", "state": "relaxed", "magnetic_moment_mub_per_cell": 0.001, "ef_ev_per_atom": -0.274, "dos_at_fermi_per_ev_atom": 0.933, "vol_a3_per_atom": 26.4, "lattice": [[3.773, 0.000, 0.000], [0.000, 4.550, 0.000], [0.000, 0.000, 12.294]], "species": ["Pr", "Pr", "Pr", "Pr", "Al", "Al", "Al", "Cu"], "frac_coords": [[0.000, 0.000, 0.000], [0.000, 0.500, 0.294], [0.500, 0.000, 0.487], [0.500, 0.500, 0.800], [0.000, 0.000, 0.706], [0.000, 0.500, 0.582], [0.500, 0.500, 0.088], [0.500, 0.000, 0.205]]}

{"formula": "PrAl4Cu8", "functional": "GGA-PBE", "state": "relaxed", "magnetic_moment_mub_per_cell": 0.000, "ef_ev_per_atom": -0.223, "dos_at_fermi_per_ev_atom": 0.368, "vol_a3_per_atom": 14.7, "lattice": [[-4.340, 4.340, 2.533], [4.340, -4.340, 2.533], [4.340, 4.340, -2.533]], "species": ["Pr", "Al", "Al", "Al", "Al", "Cu", "Cu", "Cu", "Cu", "Cu", "Cu", "Cu", "Cu"], "frac_coords": [[0.000, 0.000, 0.000], [0.000, 0.000, 0.500], [0.000, 0.500, 0.000], [0.500, 0.000, 0.000], [0.500, 0.500, 0.500], [0.000, 0.354, 0.354], [0.000, 0.646, 0.646], [0.276, 0.500, 0.776], [0.354, 0.000, 0.354], [0.500, 0.276, 0.776], [0.500, 0.724, 0.224], [0.646, 0.000, 0.646], [0.724, 0.500, 0.224]]}

{"formula": "Pr4AlCu3", "functional": "GGA-PBE", "state": "relaxed", "magnetic_moment_mub_per_cell": 0.000, "ef_ev_per_atom": -0.177, "dos_at_fermi_per_ev_atom": 1.108, "vol_a3_per_atom": 25.0, "lattice": [[3.816, 0.000, 0.000], [0.000, 4.526, 0.000], [0.000, 0.000, 11.562]], "species": ["Pr", "Pr", "Pr", "Pr", "Al", "Cu", "Cu", "Cu"], "frac_coords": [[0.000, 0.000, 0.000], [0.000, 0.500, 0.277], [0.500, 0.000, 0.482], [0.500, 0.500, 0.792], [0.000, 0.000, 0.699], [0.000, 0.500, 0.574], [0.500, 0.000, 0.200], [0.500, 0.500, 0.077]]}